No. 1
TcNi2Pt | PBE | relaxed

Output
Distance to the lowest polymorph of the same formula: 106.5 meV/atom
Energy of formation: 0.026 eV per atom

Lattice parameters (Å, degrees): 4.544 4.544 2.652 90.00 90.00 107.84
Element x y z (fractional)
1 Tc 0.000 0.000 0.000
2 Ni 0.000 0.500 0.500
3 Ni 0.500 0.000 0.500
4 Pt 0.500 0.500 0.000

---

No. 2
SrNb2NiMo | PBE | relaxed

Output
Energy of formation: 0.918 eV per atom

Lattice parameters (Å, degrees): 4.853 4.853 4.958 90.00 90.00 90.00
Element x y z (fractional)
1 Sr 0.000 0.000 0.000
2 Nb 0.000 0.500 0.500
3 Nb 0.500 0.000 0.500
4 Ni 0.500 0.500 0.000
5 Mo 0.500 0.500 0.500

---

No. 3
Ca2TlZn | PBE | relaxed

Output
Energy of formation: -0.172 eV per atom

Lattice parameters (Å, degrees): 9.601 9.601 9.601 23.23 23.23 23.23
Element x y z (fractional)
1 Ca 0.244 0.244 0.244
2 Ca 0.756 0.756 0.756
3 Tl 0.000 0.000 0.000
4 Zn 0.500 0.500 0.500

---

No. 4
SrPRuAu | PBE | relaxed

Output
Distance to the lowest polymorph of the same formula: 0.0 meV/atom
Energy of formation: -0.422 eV per atom

Lattice parameters (Å, degrees): 6.971 6.971 6.971 32.19 32.19 32.19
Element x y z (fractional)
1 Sr 0.000 0.000 0.000
2 P 0.434 0.434 0.434
3 Ru 0.805 0.805 0.805
4 Au 0.219 0.219 0.219

---

No. 5
NaBeHg2Rh | PBE | relaxed

Output
Energy of formation: 1.387 eV per atom

Lattice parameters (Å, degrees): 5.057 5.057 4.545 90.00 90.00 90.00
Element x y z (fractional)
1 Na 0.000 0.000 0.000
2 Be 0.000 0.000 0.500
3 Hg 0.000 0.500 0.000
4 Hg 0.500 0.000 0.000
5 Rh 0.500 0.500 0.500

---

No. 6
Tl7InH12 | PBE | relaxed

Output
DFT total energy: -2.86 eV/atom

Lattice parameters (Å, degrees): 6.532 8.177 8.229 60.93 79.16 71.32
Element x y z (fractional)
1 Tl 0.000 0.000 0.000
2 Tl 0.300 0.184 0.594
3 Tl 0.347 0.625 0.310
4 Tl 0.486 0.289 0.156
5 Tl 0.514 0.711 0.844
6 Tl 0.653 0.375 0.690
7 Tl 0.700 0.816 0.406
8 In 0.500 0.000 0.000
9 H 0.042 0.013 0.356
10 H 0.051 0.638 0.673
11 H 0.052 0.635 0.001
12 H 0.071 0.326 0.002
13 H 0.152 0.029 0.348
14 H 0.161 0.623 0.703
15 H 0.839 0.377 0.297
16 H 0.848 0.971 0.652
17 H 0.929 0.674 0.998
18 H 0.948 0.365 0.999
19 H 0.949 0.362 0.327
20 H 0.958 0.987 0.644

---

No. 7
PrYEr2Te6 | PBE | relaxed

Output
Formation energy without anion corrections: -1.36 eV per atom

Lattice parameters (Å, degrees): 8.335 8.335 8.335 55.48 55.48 55.48
Element x y z (fractional)
1 Pr 0.000 0.000 0.000
2 Y 0.496 0.496 0.496
3 Er 0.309 0.309 0.309
4 Er 0.811 0.811 0.811
5 Te 0.084 0.697 0.423
6 Te 0.212 0.580 0.908
7 Te 0.423 0.084 0.697
8 Te 0.580 0.908 0.212
9 Te 0.697 0.423 0.084
10 Te 0.908 0.212 0.580

---

No. 8
FeB2Pd2 | PBE | relaxed

Output
Energy of formation: 0.109 eV per atom

Lattice parameters (Å, degrees): 5.628 5.628 3.392 90.00 90.00 90.00
Element x y z (fractional)
1 Fe 0.000 0.000 0.000
2 Fe 0.500 0.500 0.000
3 B 0.114 0.386 0.000
4 B 0.386 0.886 0.000
5 B 0.614 0.114 0.000
6 B 0.886 0.614 0.000
7 Pd 0.179 0.679 0.500
8 Pd 0.321 0.179 0.500
9 Pd 0.679 0.821 0.500
10 Pd 0.821 0.321 0.500

---

No. 9
LaPrSm2In4 | PBE | relaxed

Output
Energy of formation: -0.495 eV per atom

Lattice parameters (Å, degrees): 9.514 9.514 9.514 33.51 33.51 33.51
Element x y z (fractional)
1 La 0.000 0.000 0.000
2 Pr 0.500 0.500 0.500
3 Sm 0.250 0.250 0.250
4 Sm 0.750 0.750 0.750
5 In 0.126 0.126 0.126
6 In 0.376 0.376 0.376
7 In 0.624 0.624 0.624
8 In 0.874 0.874 0.874

---

No. 10
ThAl2Ni9 | PBE | relaxed

Output
Distance to the lowest polymorph of the same formula: 36.1 meV/atom
Energy of formation: -0.358 eV per atom

Lattice parameters (Å, degrees): 8.231 8.231 8.231 34.24 34.24 34.24
Element x y z (fractional)
1 Th 0.000 0.000 0.000
2 Al 0.146 0.146 0.146
3 Al 0.854 0.854 0.854
4 Ni 0.082 0.591 0.591
5 Ni 0.334 0.334 0.334
6 Ni 0.409 0.409 0.918
7 Ni 0.409 0.918 0.409
8 Ni 0.500 0.500 0.500
9 Ni 0.591 0.082 0.591
10 Ni 0.591 0.591 0.082
11 Ni 0.666 0.666 0.666
12 Ni 0.918 0.409 0.409

---

No. 11
LiGdHgIr | PBE | relaxed

Output
Energy of formation: -0.354 eV per atom

Lattice parameters (Å, degrees): 4.794 4.794 4.794 60.00 60.00 60.00
Element x y z (fractional)
1 Li 0.000 0.000 0.000
2 Gd 0.750 0.750 0.750
3 Hg 0.250 0.250 0.250
4 Ir 0.500 0.500 0.500

---

No. 12
Na4ZnCd | PBE | relaxed

Output
Energy of formation: -0.001 eV per atom

Lattice parameters (Å, degrees): 5.763 5.763 12.084 95.35 95.35 122.32
Element x y z (fractional)
1 Na 0.011 0.683 0.728
2 Na 0.163 0.837 0.000
3 Na 0.291 0.291 0.596
4 Na 0.317 0.989 0.272
5 Na 0.683 0.011 0.728
6 Na 0.709 0.709 0.404
7 Na 0.837 0.163 0.000
8 Na 0.989 0.317 0.272
9 Zn 0.249 0.751 0.500
10 Zn 0.751 0.249 0.500
11 Cd 0.434 0.434 0.874
12 Cd 0.566 0.566 0.126